No. 1
The following is a DFT calculation (PBE) of a relaxed CeUIr4 crystal.

Cell: 5.3606 5.3606 5.3606 Å, 60.00 60.00 60.00°
Sites, in units of the cell vectors:
Ce 0.0000 0.0000 0.0000
U 0.2500 0.2500 0.2500
Ir 0.1257 0.6248 0.6248
Ir 0.6248 0.1257 0.6248
Ir 0.6248 0.6248 0.1257
Ir 0.6248 0.6248 0.6248

Computed properties:
As for the calculated formation energy: -0.6523 eV per atom. The total energy is -9.430 eV per atom. The value obtained for the calculated volume is 18.15 A^3/atom. The polymorph energy (0 for the lowest one) comes out at 0 meV per atom.


No. 2
The following is a DFT calculation (PBE) of a relaxed YMn2Os crystal.

Cell: 2.9071 4.2200 5.7399 Å, 90.00 104.15 90.00°
Sites, in units of the cell vectors:
Y 0.0000 0.0000 0.0000
Mn 0.2937 0.5000 0.6981
Mn 0.7063 0.5000 0.3019
Os 0.5000 0.0000 0.5000

Computed properties:
As for the calculated formation energy: 0.3153 eV per atom. The total energy is -8.693 eV per atom. The value obtained for the calculated volume is 17.07 A^3/atom. The polymorph energy (0 for the lowest one) comes out at 164 meV per atom.


No. 3
The following is a DFT calculation (PBE) of a relaxed NdSeF crystal.

Cell: 4.0479 4.0479 7.2404 Å, 90.00 90.00 90.00°
Sites, in units of the cell vectors:
Nd 0.2500 0.2500 0.2178
Nd 0.7500 0.7500 0.7822
Se 0.2500 0.2500 0.6441
Se 0.7500 0.7500 0.3559
F 0.2500 0.7500 0.0000
F 0.7500 0.2500 0.0000

Computed properties:
The total energy is -6.266 eV per atom. Its uncorrected formation energy is -8.7 eV/f.u. The value obtained for the calculated volume is 19.77 A^3/atom.


No. 4
The following is a DFT calculation (PBE) of a relaxed LiPd2Pt crystal.

Cell: 2.8117 2.8117 7.2690 Å, 90.00 90.00 90.00°
Sites, in units of the cell vectors:
Li 0.0000 0.0000 0.0000
Pd 0.5000 0.5000 0.2261
Pd 0.5000 0.5000 0.7739
Pt 0.0000 0.0000 0.5000

Computed properties:
As for the calculated formation energy: -0.2007 eV per atom. The total energy is -4.786 eV per atom. The value obtained for the calculated volume is 14.37 A^3/atom. The polymorph energy (0 for the lowest one) comes out at 171 meV per atom.


No. 5
The following is a DFT calculation (PBE) of a relaxed Dy6BiAs5 crystal.

Cell: 7.2399 7.2399 7.2313 Å, 99.64 99.64 119.92°
Sites, in units of the cell vectors:
Dy 0.0661 0.4140 0.7427
Dy 0.2377 0.2377 0.2560
Dy 0.4140 0.0661 0.7427
Dy 0.5860 0.9339 0.2573
Dy 0.7623 0.7623 0.7440
Dy 0.9339 0.5860 0.2573
Bi 0.5000 0.5000 0.0000
As 0.0000 0.0000 0.5000
As 0.1670 0.8330 0.0000
As 0.3370 0.6630 0.5000
As 0.6630 0.3370 0.5000
As 0.8330 0.1670 0.0000

Computed properties:
As for the calculated formation energy: -1.3983 eV per atom. The total energy is -5.960 eV per atom. The value obtained for the calculated volume is 25.80 A^3/atom.


No. 6
The following is a DFT calculation (PBE) of a relaxed TaNiHPd2 crystal.

Cell: 3.9089 3.9089 4.0663 Å, 90.00 90.00 90.00°
Sites, in units of the cell vectors:
Ta 0.0000 0.0000 0.0000
Ni 0.5000 0.5000 0.0000
H 0.5000 0.5000 0.5000
Pd 0.0000 0.5000 0.5000
Pd 0.5000 0.0000 0.5000

Computed properties:
The total energy is -6.272 eV per atom. The value obtained for the calculated volume is 12.43 A^3/atom.


No. 7
The following is a DFT calculation (PBE) of a relaxed Li2PPb crystal.

Cell: 3.7932 3.7932 5.4150 Å, 90.00 90.00 90.00°
Sites, in units of the cell vectors:
Li 0.0000 0.0000 0.0000
Li 0.5000 0.5000 0.2486
P 0.0000 0.0000 0.4900
Pb 0.5000 0.5000 0.7241

Computed properties:
As for the calculated formation energy: -0.1488 eV per atom. The total energy is -3.385 eV per atom. The value obtained for the calculated volume is 19.48 A^3/atom. The polymorph energy (0 for the lowest one) comes out at 175 meV per atom.


No. 8
The following is a DFT calculation (PBE) of a relaxed PmScZnAu crystal.

Cell: 5.0135 5.0135 5.0135 Å, 60.00 60.00 60.00°
Sites, in units of the cell vectors:
Pm 0.0000 0.0000 0.0000
Sc 0.5000 0.5000 0.5000
Zn 0.2500 0.2500 0.2500
Au 0.7500 0.7500 0.7500

Computed properties:
As for the calculated formation energy: -0.5211 eV per atom. The total energy is -4.430 eV per atom. The value obtained for the calculated volume is 22.28 A^3/atom. The polymorph energy (0 for the lowest one) comes out at 38 meV per atom.


No. 9
The following is a DFT calculation (PBE) of a relaxed Pr2NiAu crystal.

Cell: 5.8821 4.6011 7.9114 Å, 90.00 110.70 90.00°
Sites, in units of the cell vectors:
Pr 0.2145 0.2500 0.4352
Pr 0.2317 0.2500 0.9257
Pr 0.7683 0.7500 0.0743
Pr 0.7855 0.7500 0.5648
Ni 0.3450 0.7500 0.7105
Ni 0.6550 0.2500 0.2895
Au 0.3387 0.7500 0.2129
Au 0.6613 0.2500 0.7871

Computed properties:
As for the calculated formation energy: -0.5147 eV per atom. The total energy is -5.169 eV per atom. The value obtained for the calculated volume is 25.04 A^3/atom.


No. 10
The following is a DFT calculation (PBE) of a relaxed Cd2PbI6 crystal.

Cell: 10.2262 10.2262 7.9890 Å, 97.91 97.91 85.35°
Sites, in units of the cell vectors:
Cd 0.1071 0.2678 0.3204
Cd 0.2678 0.1071 0.8204
Cd 0.7322 0.8929 0.1796
Cd 0.8929 0.7322 0.6796
Pb 0.3905 0.6095 0.7500
Pb 0.6095 0.3905 0.2500
I 0.0369 0.2149 0.6330
I 0.1149 0.6305 0.8857
I 0.2149 0.0369 0.1330
I 0.2957 0.4674 0.3630
I 0.3695 0.8851 0.6143
I 0.4674 0.2957 0.8630
I 0.5326 0.7043 0.1370
I 0.6305 0.1149 0.3857
I 0.7043 0.5326 0.6370
I 0.7851 0.9631 0.8670
I 0.8851 0.3695 0.1143
I 0.9631 0.7851 0.3670

Computed properties:
The total energy is -2.237 eV per atom. Its uncorrected formation energy is -5.3 eV/f.u. The value obtained for the calculated volume is 45.44 A^3/atom. The polymorph energy (0 for the lowest one) comes out at 0 meV per atom.


No. 11
The following is a DFT calculation (PBE) of a relaxed Ta3NbMo3 crystal.

Cell: 6.4137 6.4137 6.3106 Å, 90.00 90.00 90.96°
Sites, in units of the cell vectors:
Ta 0.2489 0.7511 0.0000
Ta 0.2519 0.2519 0.0000
Ta 0.2532 0.2532 0.5000
Ta 0.7468 0.7468 0.5000
Ta 0.7481 0.7481 0.0000
Ta 0.7511 0.2489 0.0000
Nb 0.2403 0.7597 0.5000
Nb 0.7597 0.2403 0.5000
Mo 0.0000 0.5000 0.2497
Mo 0.0000 0.5000 0.7503
Mo 0.5000 0.0000 0.2497
Mo 0.5000 0.0000 0.7503
Mo 0.5000 0.5000 0.2503
Mo 0.5000 0.5000 0.7497

Computed properties:
As for the calculated formation energy: 0.2106 eV per atom. The total energy is -10.950 eV per atom. The value obtained for the calculated volume is 18.54 A^3/atom.


No. 12
The following is a DFT calculation (PBE) of a relaxed CdCoRh2 crystal.

Cell: 5.6422 5.6422 5.6422 Å, 102.69 102.69 124.11°
Sites, in units of the cell vectors:
Cd 0.0000 0.0000 0.0000
Cd 0.7500 0.2500 0.5000
Co 0.2500 0.7500 0.5000
Co 0.5000 0.5000 0.0000
Rh 0.1713 0.6250 0.0463
Rh 0.3750 0.4213 0.5463
Rh 0.5787 0.1250 0.9537
Rh 0.8750 0.8287 0.4537

Computed properties:
As for the calculated formation energy: 0.4139 eV per atom. The total energy is -5.267 eV per atom. The value obtained for the calculated volume is 16.42 A^3/atom. The polymorph energy (0 for the lowest one) comes out at 386 meV per atom.


No. 13
The following is a DFT calculation (PBE) of a relaxed NdDy2ScTl2 crystal.

Cell: 5.0029 9.8565 6.9419 Å, 90.00 90.00 90.00°
Sites, in units of the cell vectors:
Nd 0.0000 0.0484 0.0000
Nd 0.0000 0.9516 0.5000
Dy 0.0000 0.3151 0.3920
Dy 0.0000 0.6849 0.8920
Dy 0.5000 0.4501 0.0988
Dy 0.5000 0.5499 0.5988
Sc 0.5000 0.1983 0.7123
Sc 0.5000 0.8017 0.2123
Tl 0.0000 0.3642 0.8382
Tl 0.0000 0.6358 0.3382
Tl 0.5000 0.1253 0.2777
Tl 0.5000 0.8747 0.7777

Computed properties:
As for the calculated formation energy: -0.2563 eV per atom. The total energy is -4.429 eV per atom. The value obtained for the calculated volume is 28.53 A^3/atom.


No. 14
The following is a DFT calculation (PBE) of a relaxed HgP2ClF crystal.

Cell: 5.1291 5.1291 5.1157 Å, 90.00 90.00 90.00°
Sites, in units of the cell vectors:
Hg 0.0000 0.0000 0.0000
P 0.0000 0.5000 0.0000
P 0.5000 0.0000 0.0000
Cl 0.0000 0.0000 0.5000
F 0.5000 0.5000 0.5000

Computed properties:
The total energy is -2.071 eV per atom. Its uncorrected formation energy is 4.5 eV/f.u. The value obtained for the calculated volume is 26.92 A^3/atom. The polymorph energy (0 for the lowest one) comes out at 435 meV per atom.


No. 15
The following is a DFT calculation (PBE) of a relaxed Ba3Al2F12 crystal.

Cell: 10.0375 10.3319 9.6652 Å, 90.00 90.00 90.00°
Sites, in units of the cell vectors:
Ba 0.0000 0.0000 0.2492
Ba 0.0000 0.0000 0.7508
Ba 0.1484 0.3562 0.5000
Ba 0.2123 0.2689 0.0000
Ba 0.2877 0.7689 0.5000
Ba 0.3516 0.8562 0.0000
Ba 0.5000 0.5000 0.2508
Ba 0.5000 0.5000 0.7492
Ba 0.6484 0.1438 0.0000
Ba 0.7123 0.2311 0.5000
Ba 0.7877 0.7311 0.0000
Ba 0.8516 0.6438 0.5000
Al 0.1422 0.6023 0.1855
Al 0.1422 0.6023 0.8145
Al 0.3578 0.1023 0.3145
Al 0.3578 0.1023 0.6855
Al 0.6422 0.8977 0.3145
Al 0.6422 0.8977 0.6855
Al 0.8578 0.3977 0.1855
Al 0.8578 0.3977 0.8145
F 0.0000 0.5000 0.1352
F 0.0000 0.5000 0.8648
F 0.0340 0.8584 0.5000
F 0.0504 0.7476 0.1499
F 0.0504 0.7476 0.8501
F 0.0927 0.6030 0.3638
F 0.0927 0.6030 0.6362
F 0.1458 0.0234 0.0000
F 0.1976 0.5963 0.0000
F 0.2045 0.1895 0.2788
F 0.2045 0.1895 0.7212
F 0.2335 0.4507 0.2122
F 0.2335 0.4507 0.7878
F 0.2665 0.9507 0.2878
F 0.2665 0.9507 0.7122
F 0.2955 0.6895 0.2212
F 0.2955 0.6895 0.7788
F 0.3024 0.0963 0.5000
F 0.3542 0.5234 0.5000
F 0.4073 0.1030 0.1362
F 0.4073 0.1030 0.8638
F 0.4496 0.2476 0.3501
F 0.4496 0.2476 0.6499
F 0.4660 0.3584 0.0000
F 0.5000 0.0000 0.3648
F 0.5000 0.0000 0.6352
F 0.5340 0.6416 0.0000
F 0.5504 0.7524 0.3501
F 0.5504 0.7524 0.6499
F 0.5927 0.8970 0.1362
F 0.5927 0.8970 0.8638
F 0.6458 0.4766 0.5000
F 0.6976 0.9037 0.5000
F 0.7045 0.3105 0.2212
F 0.7045 0.3105 0.7788
F 0.7335 0.0493 0.2878
F 0.7335 0.0493 0.7122
F 0.7665 0.5493 0.2122
F 0.7665 0.5493 0.7878
F 0.7955 0.8105 0.2788
F 0.7955 0.8105 0.7212
F 0.8024 0.4037 0.0000
F 0.8542 0.9766 0.0000
F 0.9073 0.3970 0.3638
F 0.9073 0.3970 0.6362
F 0.9496 0.2524 0.1499
F 0.9496 0.2524 0.8501
F 0.9660 0.1416 0.5000

Computed properties:
The total energy is -5.876 eV per atom. Its uncorrected formation energy is -64.2 eV/f.u. The value obtained for the calculated volume is 14.74 A^3/atom.


No. 16
The following is a DFT calculation (PBE) of a relaxed CuP3O9 crystal.

Cell: 8.3546 8.5180 8.5955 Å, 90.00 90.00 90.00°
Sites, in units of the cell vectors:
Cu 0.1336 0.1444 0.3516
Cu 0.3664 0.8556 0.8516
Cu 0.6336 0.3556 0.6484
Cu 0.8664 0.6444 0.1484
P 0.0319 0.6789 0.8127
P 0.1768 0.5134 0.3082
P 0.2094 0.1900 0.9488
P 0.2906 0.8100 0.4488
P 0.3232 0.4866 0.8082
P 0.4681 0.3211 0.3127
P 0.5319 0.8211 0.1873
P 0.6768 0.9866 0.6918
P 0.7094 0.3100 0.0512
P 0.7906 0.6900 0.5512
P 0.8232 0.0134 0.1918
P 0.9681 0.1789 0.6873
O 0.0461 0.2209 0.8514
O 0.0907 0.3745 0.3767
O 0.1035 0.1267 0.5823
O 0.1037 0.5977 0.1709
O 0.1331 0.8137 0.8706
O 0.1432 0.5343 0.7596
O 0.1608 0.1536 0.1117
O 0.1790 0.9149 0.3578
O 0.2124 0.6366 0.4461
O 0.2876 0.3634 0.9461
O 0.3210 0.0851 0.8578
O 0.3392 0.8464 0.6117
O 0.3568 0.4657 0.2596
O 0.3669 0.1863 0.3706
O 0.3963 0.4023 0.6709
O 0.3965 0.8733 0.0823
O 0.4093 0.6255 0.8767
O 0.4539 0.7791 0.3514
O 0.5461 0.2791 0.1486
O 0.5907 0.1255 0.6233
O 0.6035 0.3733 0.4177
O 0.6037 0.9023 0.8291
O 0.6331 0.6863 0.1294
O 0.6432 0.9657 0.2404
O 0.6608 0.3464 0.8883
O 0.6790 0.5851 0.6422
O 0.7124 0.8634 0.5539
O 0.7876 0.1366 0.0539
O 0.8210 0.4149 0.1422
O 0.8392 0.6536 0.3883
O 0.8568 0.0343 0.7404
O 0.8669 0.3137 0.6294
O 0.8963 0.0977 0.3291
O 0.8965 0.6267 0.9177
O 0.9093 0.8745 0.1233
O 0.9539 0.7209 0.6486

Computed properties:
The total energy is -6.694 eV per atom. Its uncorrected formation energy is -22.1 eV/f.u. The value obtained for the calculated volume is 11.76 A^3/atom. The polymorph energy (0 for the lowest one) comes out at 16 meV per atom.


No. 17
The following is a DFT calculation (PBE) of a relaxed Y2VSn2 crystal.

Cell: 7.4511 7.4511 4.5479 Å, 90.00 90.00 90.00°
Sites, in units of the cell vectors:
Y 0.1721 0.3279 0.0000
Y 0.3279 0.8279 0.0000
Y 0.6721 0.1721 0.0000
Y 0.8279 0.6721 0.0000
V 0.0000 0.0000 0.5000
V 0.5000 0.5000 0.5000
Sn 0.1368 0.6368 0.5000
Sn 0.3632 0.1368 0.5000
Sn 0.6368 0.8632 0.5000
Sn 0.8632 0.3632 0.5000

Computed properties:
As for the calculated formation energy: -0.4303 eV per atom. The total energy is -6.441 eV per atom. The value obtained for the calculated volume is 25.25 A^3/atom.


No. 18
The following is a DFT calculation (PBE) of a relaxed TbDyY2N4 crystal.

Cell: 6.0306 3.4830 6.0306 Å, 90.00 109.45 90.00°
Sites, in units of the cell vectors:
Tb 0.0000 0.0000 0.0000
Dy 0.5000 0.5000 0.0000
Y 0.0000 0.5000 0.5000
Y 0.5000 0.0000 0.5000
N 0.2508 0.0000 0.7504
N 0.2507 0.5000 0.2501
N 0.7492 0.0000 0.2496
N 0.7493 0.5000 0.7499

Computed properties:
The total energy is -8.622 eV per atom. Its uncorrected formation energy is -13.5 eV/f.u. The value obtained for the calculated volume is 14.93 A^3/atom.


No. 19
The following is a DFT calculation (PBE) of a relaxed CuW2Br crystal.

Cell: 4.8131 4.8131 4.7861 Å, 97.79 97.79 37.23°
Sites, in units of the cell vectors:
Cu 0.0000 0.0000 0.0000
W 0.2556 0.2556 0.7847
W 0.7444 0.7444 0.2153
Br 0.5000 0.5000 0.5000

Computed properties:
The total energy is -6.973 eV per atom. Its uncorrected formation energy is 3.8 eV/f.u. The value obtained for the calculated volume is 16.60 A^3/atom. The polymorph energy (0 for the lowest one) comes out at 419 meV per atom.


No. 20
The following is a DFT calculation (PBE) of a relaxed Dy2Tm2Ga crystal.

Cell: 9.1652 9.1652 9.1652 Å, 153.67 153.67 37.58°
Sites, in units of the cell vectors:
Dy 0.0881 0.0881 0.0000
Dy 0.9119 0.9119 0.0000
Tm 0.2500 0.7500 0.5000
Tm 0.7500 0.2500 0.5000
Ga 0.5000 0.5000 0.0000

Computed properties:
As for the calculated formation energy: 0.3118 eV per atom. The total energy is -3.923 eV per atom. The value obtained for the calculated volume is 30.24 A^3/atom.